Crystalline NiS3 at its relaxed geometry. Source: the Alexandria database, functional PBE. Values from VASP.

The structure in Quantum ESPRESSO input format:
```
&SYSTEM
  ibrav = 0, nat = 4, ntyp = 2
/
ATOMIC_SPECIES
S 32.06 S.upf
Ni 58.69 Ni.upf
CELL_PARAMETERS angstrom
3.316 0.000 0.000
0.000 4.147 0.000
-1.658 -2.074 5.456
ATOMIC_POSITIONS crystal
S 0.364 0.691 0.728
S 0.500 0.454 0.000
S 0.636 0.964 0.272
Ni 0.000 0.057 0.000
```

SG ... Imm2 (44)
VASP energy ... -4.3413 eV/atom
M_tot ... 1.07 Bohr magnetons per cell
Energy relative to the elements, uncorrected ... 200 meV/atom

---

Crystalline Ni4S at its relaxed geometry. Source: the Alexandria database, functional PBE. Values from VASP.

The structure in Quantum ESPRESSO input format:
```
&SYSTEM
  ibrav = 0, nat = 5, ntyp = 2
/
ATOMIC_SPECIES
S 32.06 S.upf
Ni 58.69 Ni.upf
CELL_PARAMETERS angstrom
4.074 0.000 0.000
0.000 4.074 0.000
0.000 0.000 4.074
ATOMIC_POSITIONS crystal
S 0.500 0.500 0.500
Ni 0.500 0.500 0.000
Ni 0.000 0.500 0.500
Ni 0.000 0.000 0.000
Ni 0.500 0.000 0.500
```

SG ... Pm-3m (221)
VASP energy ... -5.1728 eV/atom
M_tot ... 1.01 Bohr magnetons per cell
Energy relative to the elements, uncorrected ... 278 meV/atom

---

Crystalline NiS2 at its relaxed geometry. Source: the Alexandria database, functional PBE. Values from VASP.

The structure in Quantum ESPRESSO input format:
```
&SYSTEM
  ibrav = 0, nat = 6, ntyp = 2
/
ATOMIC_SPECIES
S 32.06 S.upf
Ni 58.69 Ni.upf
CELL_PARAMETERS angstrom
-0.356 4.534 -2.580
-3.450 -1.571 -2.285
-4.609 1.045 2.473
ATOMIC_POSITIONS crystal
S 0.383 0.639 0.335
S 0.117 0.639 0.835
S 0.617 0.361 0.665
S 0.883 0.361 0.165
Ni 0.000 0.500 0.500
Ni 0.500 0.500 0.000
```

SG ... P2_1/c (14)
VASP energy ... -4.9371 eV/atom
M_tot ... 0.00 Bohr magnetons per cell
Energy relative to the elements, uncorrected ... -258 meV/atom

---

Crystalline NiS2 at its relaxed geometry. Source: the Alexandria database, functional PBE. Values from VASP.

The structure in Quantum ESPRESSO input format:
```
&SYSTEM
  ibrav = 0, nat = 12, ntyp = 2
/
ATOMIC_SPECIES
S 32.06 S.upf
Ni 58.69 Ni.upf
CELL_PARAMETERS angstrom
4.497 0.000 0.000
0.000 6.174 0.000
0.000 0.000 6.565
ATOMIC_POSITIONS crystal
S 0.308 0.954 0.586
S 0.808 0.046 0.914
S 0.192 0.454 0.914
S 0.692 0.046 0.414
S 0.808 0.546 0.086
S 0.192 0.954 0.086
S 0.692 0.546 0.586
S 0.308 0.454 0.414
Ni 0.000 0.750 0.350
Ni 0.000 0.250 0.650
Ni 0.500 0.750 0.850
Ni 0.500 0.250 0.150
```

SG ... Pbcn (60)
VASP energy ... -4.8422 eV/atom
M_tot ... 0.00 Bohr magnetons per cell
Energy relative to the elements, uncorrected ... -163 meV/atom